{"formula": "Ce2Nd3DyS6", "functional": "PBE-GGA", "state": "relaxed", "lattice_angstrom": [[3.485, -6.043, 0.000], [3.485, 6.043, 0.000], [-2.335, 0.000, 6.582]], "species": ["Ce", "Ce", "Nd", "Nd", "Nd", "Dy", "S", "S", "S", "S", "S", "S"], "fractional_positions": [[0.166, 0.834, 0.000], [0.834, 0.166, 0.000], [0.000, 0.000, 0.500], [0.333, 0.667, 0.500], [0.667, 0.333, 0.500], [0.500, 0.500, 0.000], [0.092, 0.420, 0.758], [0.253, 0.253, 0.243], [0.420, 0.092, 0.758], [0.580, 0.908, 0.242], [0.747, 0.747, 0.757], [0.908, 0.580, 0.242]], "e_form_raw_ev_per_atom": -2.03, "spacegroup": "C2/m, No. 12", "density_g_cm3": 6.396}